# 1
VASP calculation (PBE) on a relaxed BiP2O2 crystal.

Cell: 3.200 3.200 14.845 Å, 90.00 90.00 90.00°
Element x y z (fractional)
Bi1 0.000 0.000 0.000
Bi2 0.500 0.500 0.500
P1 0.000 0.500 0.250
P2 0.000 0.500 0.750
P3 0.500 0.000 0.250
P4 0.500 0.000 0.750
O1 0.000 0.000 0.418
O2 0.000 0.000 0.582
O3 0.500 0.500 0.082
O4 0.500 0.500 0.918

## Properties
Energy above the lowest structure with this stoichiometry (eV per formula unit): 1.82
Space group: I4/mmm, No. 139
Raw formation energy (eV/atom): 0.01
Uncorrected energy (eV/atom): -4.911

---

# 2
VASP calculation (PBE) on a relaxed BiP4O12 crystal.

Cell: 7.838 7.838 17.758 Å, 90.00 90.00 96.40°
Element x y z (fractional)
Bi1 0.026 0.403 0.147
Bi2 0.403 0.026 0.853
Bi3 0.597 0.974 0.353
Bi4 0.974 0.597 0.647
P1 0.035 0.737 0.841
P2 0.216 0.679 0.984
P3 0.263 0.965 0.659
P4 0.307 0.320 0.702
P5 0.320 0.307 0.298
P6 0.321 0.784 0.516
P7 0.333 0.333 0.000
P8 0.337 0.663 0.250
P9 0.663 0.337 0.750
P10 0.667 0.667 0.500
P11 0.679 0.216 0.016
P12 0.680 0.693 0.798
P13 0.693 0.680 0.202
P14 0.737 0.035 0.159
P15 0.784 0.321 0.484
P16 0.965 0.263 0.341
O1 0.062 0.624 0.775
O2 0.080 0.882 0.658
O3 0.086 0.635 0.914
O4 0.116 0.655 0.056
O5 0.118 0.920 0.842
O6 0.152 0.675 0.530
O7 0.165 0.254 0.357
O8 0.168 0.639 0.209
O9 0.215 0.291 0.066
O10 0.235 0.473 0.668
O11 0.254 0.165 0.643
O12 0.263 0.275 0.218
O13 0.275 0.263 0.782
O14 0.291 0.215 0.934
O15 0.325 0.848 0.970
O16 0.339 0.529 0.974
O17 0.345 0.884 0.444
O18 0.357 0.515 0.311
O19 0.361 0.832 0.291
O20 0.365 0.914 0.586
O21 0.376 0.938 0.725
O22 0.471 0.661 0.526
O23 0.473 0.235 0.332
O24 0.485 0.643 0.189
O25 0.515 0.357 0.689
O26 0.527 0.765 0.832
O27 0.529 0.339 0.026
O28 0.624 0.062 0.225
O29 0.635 0.086 0.086
O30 0.639 0.168 0.791
O31 0.643 0.485 0.811
O32 0.655 0.116 0.944
O33 0.661 0.471 0.474
O34 0.675 0.152 0.470
O35 0.709 0.785 0.434
O36 0.725 0.737 0.282
O37 0.737 0.725 0.718
O38 0.746 0.835 0.143
O39 0.765 0.527 0.168
O40 0.785 0.709 0.566
O41 0.832 0.361 0.709
O42 0.835 0.746 0.857
O43 0.848 0.325 0.030
O44 0.882 0.080 0.342
O45 0.884 0.345 0.556
O46 0.914 0.365 0.414
O47 0.920 0.118 0.158
O48 0.938 0.376 0.275

## Properties
Energy above the lowest structure with this stoichiometry (eV per formula unit): 0.12
Space group: C222_1, No. 20
Raw formation energy (eV/atom): -1.88
Uncorrected energy (eV/atom): -6.886

---

Repeat the first record exactly.
VASP calculation (PBE) on a relaxed BiP2O2 crystal.

Cell: 3.200 3.200 14.845 Å, 90.00 90.00 90.00°
Element x y z (fractional)
Bi1 0.000 0.000 0.000
Bi2 0.500 0.500 0.500
P1 0.000 0.500 0.250
P2 0.000 0.500 0.750
P3 0.500 0.000 0.250
P4 0.500 0.000 0.750
O1 0.000 0.000 0.418
O2 0.000 0.000 0.582
O3 0.500 0.500 0.082
O4 0.500 0.500 0.918

## Properties
Energy above the lowest structure with this stoichiometry (eV per formula unit): 1.82
Space group: I4/mmm, No. 139
Raw formation energy (eV/atom): 0.01
Uncorrected energy (eV/atom): -4.911

---

What did the first record say?
VASP calculation (PBE) on a relaxed BiP2O2 crystal.

Cell: 3.200 3.200 14.845 Å, 90.00 90.00 90.00°
Element x y z (fractional)
Bi1 0.000 0.000 0.000
Bi2 0.500 0.500 0.500
P1 0.000 0.500 0.250
P2 0.000 0.500 0.750
P3 0.500 0.000 0.250
P4 0.500 0.000 0.750
O1 0.000 0.000 0.418
O2 0.000 0.000 0.582
O3 0.500 0.500 0.082
O4 0.500 0.500 0.918

## Properties
Energy above the lowest structure with this stoichiometry (eV per formula unit): 1.82
Space group: I4/mmm, No. 139
Raw formation energy (eV/atom): 0.01
Uncorrected energy (eV/atom): -4.911